Record 1
This record from Alexandria describes an optimized crystal structure of Sm7Dy16Y6. The functional is GGA-PBE.

a = 11.1646 Å, b = 11.1646 Å, c = 11.1646 Å
α = 60.00°, β = 60.00°, γ = 60.00°
Closest atoms and distances in Å follow each position.
Fractional positions:
Sm  0.0000  0.0000  0.0000  8 Dy 3.41
Sm  0.0000  0.0000  0.5000  8 Dy 3.25-3.42
Sm  0.0000  0.5000  0.0000  8 Dy 3.25-3.42
Sm  0.0000  0.5000  0.5000  8 Dy 3.25-3.42
Sm  0.5000  0.0000  0.0000  8 Dy 3.25-3.42
Sm  0.5000  0.0000  0.5000  8 Dy 3.25-3.42
Sm  0.5000  0.5000  0.0000  8 Dy 3.25-3.42
Dy  0.0418  0.6527  0.6527  3 Sm 3.25, 3 Dy 3.57, 3 Y 3.60
Dy  0.1248  0.1248  0.1248  4 Sm 3.41-3.42, 3 Dy 3.57, 3 Y 3.66
Dy  0.1248  0.1248  0.6255  4 Sm 3.41-3.42, 3 Dy 3.57, 3 Y 3.66
Dy  0.1248  0.6255  0.1248  4 Sm 3.41-3.42, 3 Dy 3.57, 3 Y 3.66
Dy  0.3473  0.3473  0.3473  3 Sm 3.25, 3 Dy 3.57, 3 Y 3.60
Dy  0.3473  0.3473  0.9582  3 Sm 3.25, 3 Dy 3.57, 3 Y 3.60
Dy  0.3473  0.9582  0.3473  3 Sm 3.25, 3 Dy 3.57, 3 Y 3.60
Dy  0.3745  0.8752  0.8752  4 Sm 3.41-3.42, 3 Dy 3.57, 3 Y 3.66
Dy  0.6255  0.1248  0.1248  4 Sm 3.41-3.42, 3 Dy 3.57, 3 Y 3.66
Dy  0.6527  0.0418  0.6527  3 Sm 3.25, 3 Dy 3.57, 3 Y 3.60
Dy  0.6527  0.6527  0.0418  3 Sm 3.25, 3 Dy 3.57, 3 Y 3.60
Dy  0.6527  0.6527  0.6527  3 Sm 3.25, 3 Dy 3.57, 3 Y 3.60
Dy  0.8752  0.3745  0.8752  4 Sm 3.41-3.42, 3 Dy 3.57, 3 Y 3.66
Dy  0.8752  0.8752  0.3745  4 Sm 3.41-3.42, 3 Dy 3.57, 3 Y 3.66
Dy  0.8752  0.8752  0.8752  4 Sm 3.41-3.42, 3 Dy 3.57, 3 Y 3.66
Dy  0.9582  0.3473  0.3473  3 Sm 3.25, 3 Dy 3.57, 3 Y 3.60
Y  0.2746  0.2746  0.7254  8 Dy 3.60-3.66, 4 Sm 3.97
Y  0.2746  0.7254  0.2746  8 Dy 3.60-3.66, 4 Sm 3.97
Y  0.2746  0.7254  0.7254  8 Dy 3.60-3.66, 4 Sm 3.97
Y  0.7254  0.2746  0.2746  8 Dy 3.60-3.66, 4 Sm 3.97
Y  0.7254  0.2746  0.7254  8 Dy 3.60-3.66, 4 Sm 3.97
Y  0.7254  0.7254  0.2746  8 Dy 3.60-3.66, 4 Sm 3.97

Results
VASP energy in eV per atom: -4.77
Space group: Fm-3m
Crystal system: cubic

=====

Record 2
This record from Alexandria describes an optimized crystal structure of SmDy4Y. The functional is GGA-PBE.

a = 5.0239 Å, b = 6.1714 Å, c = 7.1296 Å
α = 106.85°, β = 90.00°, γ = 113.93°
Closest atoms and distances in Å follow each position.
Fractional positions:
Sm  0.0000  0.0000  0.0000  10 Dy 3.56, 2 Y 3.56
Dy  0.3326  0.6651  0.6662  7 Dy 3.55-3.58, 3 Y 3.56-3.57, 2 Sm 3.56
Dy  0.3330  0.6659  0.1664  7 Dy 3.55-3.58, 2 Y 3.56, 3 Sm 3.56
Dy  0.6670  0.3341  0.8336  7 Dy 3.55-3.58, 2 Y 3.56, 3 Sm 3.56
Dy  0.6674  0.3349  0.3338  7 Dy 3.55-3.58, 3 Y 3.56-3.57, 2 Sm 3.56
Y  0.0000  0.0000  0.5000  10 Dy 3.56-3.57, 2 Sm 3.56

Results
VASP energy in eV per atom: -4.91
Space group: P-1
Crystal system: triclinic
Energy above the most stable polymorph in this dataset in meV/atom: 0